[1]
First-principles (PBE) data for a relaxed structure of IrOs2Cl, as listed in Alexandria.

Output
- Mass density: 15.05 Mg/m³
- ΔE to the lowest computed polymorph: 414 meV/atom
- M_tot: 0.000 μB/atom
- Formation energy without anion corrections: 0.95 eV per atom
- DOS(E_F): 0.960 states/eV/atom

Lattice parameters (Å, degrees): 2.771 3.639 6.656 90.00 90.00 90.00
Fractional positions:
1 Ir 0.000 0.000 0.000
2 Os 0.500 0.500 0.197
3 Os 0.500 0.500 0.803
4 Cl 0.000 0.000 0.500

---

[2]
First-principles (PBE) data for a relaxed structure of IrOs2Cl, as listed in Alexandria.

Output
- Mass density: 15.52 Mg/m³
- ΔE to the lowest computed polymorph: 86 meV/atom
- M_tot: 0.000 μB/atom
- Formation energy without anion corrections: 0.62 eV per atom
- DOS(E_F): 1.118 states/eV/atom

Lattice parameters (Å, degrees): 2.800 2.800 8.298 90.00 90.00 90.00
Fractional positions:
1 Ir 0.000 0.000 0.000
2 Os 0.000 0.000 0.434
3 Os 0.500 0.500 0.224
4 Cl 0.500 0.500 0.652

---

[3]
First-principles (PBE) data for a relaxed structure of Ir2OsCl, as listed in Alexandria.

Output
- Mass density: 14.94 Mg/m³
- ΔE to the lowest computed polymorph: 338 meV/atom
- M_tot: 0.000 μB/atom
- Formation energy without anion corrections: 0.81 eV per atom
- DOS(E_F): 0.762 states/eV/atom

Lattice parameters (Å, degrees): 2.794 3.612 6.722 90.00 90.00 90.00
Fractional positions:
1 Ir 0.000 0.000 0.000
2 Ir 0.500 0.500 0.206
3 Os 0.000 0.000 0.393
4 Cl 0.500 0.500 0.693

---

[4]
First-principles (PBE) data for a relaxed structure of IrOs2Cl, as listed in Alexandria.

Output
- Mass density: 12.80 Mg/m³
- ΔE to the lowest computed polymorph: 171 meV/atom
- M_tot: 0.000 μB/atom
- Formation energy without anion corrections: 0.70 eV per atom
- DOS(E_F): 0.611 states/eV/atom

Lattice parameters (Å, degrees): 4.538 4.538 6.593 94.41 94.41 35.65
Fractional positions:
1 Ir 0.000 0.000 0.000
2 Os 0.266 0.266 0.823
3 Os 0.532 0.532 0.672
4 Cl 0.970 0.970 0.357

---

[5]
First-principles (PBE) data for a relaxed structure of Ir2OsCl, as listed in Alexandria.

Output
- Mass density: 12.86 Mg/m³
- ΔE to the lowest computed polymorph: 116 meV/atom
- M_tot: 0.000 μB/atom
- Formation energy without anion corrections: 0.58 eV per atom
- DOS(E_F): 1.005 states/eV/atom

Lattice parameters (Å, degrees): 4.574 4.574 6.508 94.54 94.54 35.51
Fractional positions:
1 Ir 0.000 0.000 0.000
2 Ir 0.735 0.735 0.181
3 Os 0.268 0.268 0.851
4 Cl 0.696 0.696 0.538

---

[6]
First-principles (PBE) data for a relaxed structure of Ir2OsCl, as listed in Alexandria.

Output
- Mass density: 16.40 Mg/m³
- ΔE to the lowest computed polymorph: 224 meV/atom
- M_tot: 0.170 μB/atom
- Formation energy without anion corrections: 0.69 eV per atom
- DOS(E_F): 1.243 states/eV/atom

Lattice parameters (Å, degrees): 2.817 2.817 9.164 90.00 90.00 121.84
Fractional positions:
1 Ir 0.000 0.000 0.245
2 Ir 0.000 0.000 0.755
3 Os 0.500 0.500 0.000
4 Cl 0.500 0.500 0.500

---

[7]
First-principles (PBE) data for a relaxed structure of Ir2OsCl, as listed in Alexandria.

Output
- Mass density: 16.83 Mg/m³
- ΔE to the lowest computed polymorph: 606 meV/atom
- M_tot: 0.000 μB/atom
- Formation energy without anion corrections: 1.07 eV per atom
- DOS(E_F): 1.378 states/eV/atom

Lattice parameters (Å, degrees): 4.836 4.836 2.738 90.00 90.00 109.96
Fractional positions:
1 Ir 0.000 0.500 0.000
2 Ir 0.500 0.000 0.000
3 Os 0.000 0.000 0.500
4 Cl 0.500 0.500 0.500

---

[8]
First-principles (PBE) data for a relaxed structure of Ir2OsCl, as listed in Alexandria.

Output
- Mass density: 16.68 Mg/m³
- ΔE to the lowest computed polymorph: 991 meV/atom
- M_tot: 0.000 μB/atom
- Formation energy without anion corrections: 1.46 eV per atom
- DOS(E_F): 1.366 states/eV/atom

Lattice parameters (Å, degrees): 3.830 3.830 4.141 90.00 90.00 90.00
Fractional positions:
1 Ir 0.000 0.500 0.000
2 Ir 0.500 0.000 0.000
3 Os 0.000 0.000 0.500
4 Cl 0.500 0.500 0.500

---

[9]
First-principles (PBE) data for a relaxed structure of IrOs2Cl, as listed in Alexandria.

Output
- Mass density: 16.66 Mg/m³
- ΔE to the lowest computed polymorph: 685 meV/atom
- M_tot: 0.000 μB/atom
- Formation energy without anion corrections: 1.22 eV per atom
- DOS(E_F): 1.407 states/eV/atom

Lattice parameters (Å, degrees): 2.742 4.687 4.716 90.00 90.00 90.00
Fractional positions:
1 Ir 0.000 0.000 0.000
2 Os 0.000 0.500 0.500
3 Os 0.500 0.500 0.000
4 Cl 0.500 0.000 0.500

---

[10]
First-principles (PBE) data for a relaxed structure of IrOs2Cl, as listed in Alexandria.

Output
- Mass density: 14.93 Mg/m³
- ΔE to the lowest computed polymorph: 81 meV/atom
- M_tot: 0.000 μB/atom
- Formation energy without anion corrections: 0.61 eV per atom
- DOS(E_F): 0.686 states/eV/atom

Lattice parameters (Å, degrees): 2.788 3.609 6.719 90.00 90.00 90.00
Fractional positions:
1 Ir 0.000 0.000 0.000
2 Os 0.000 0.000 0.608
3 Os 0.500 0.500 0.794
4 Cl 0.000 0.500 0.323

---

[11]
First-principles (PBE) data for a relaxed structure of Ir2OsCl, as listed in Alexandria.

Output
- Mass density: 15.24 Mg/m³
- ΔE to the lowest computed polymorph: 71 meV/atom
- M_tot: 0.001 μB/atom
- Formation energy without anion corrections: 0.54 eV per atom
- DOS(E_F): 1.045 states/eV/atom

Lattice parameters (Å, degrees): 10.054 10.054 10.054 15.90 15.90 15.90
Fractional positions:
1 Ir 0.000 0.000 0.000
2 Ir 0.257 0.257 0.257
3 Os 0.737 0.737 0.737
4 Cl 0.472 0.472 0.472

---

[12]
First-principles (PBE) data for a relaxed structure of IrOs2Cl, as listed in Alexandria.

Output
- Mass density: 16.89 Mg/m³
- ΔE to the lowest computed polymorph: 674 meV/atom
- M_tot: 0.000 μB/atom
- Formation energy without anion corrections: 1.21 eV per atom
- DOS(E_F): 1.366 states/eV/atom

Lattice parameters (Å, degrees): 4.713 4.713 2.736 90.00 90.00 100.35
Fractional positions:
1 Ir 0.000 0.000 0.000
2 Os 0.000 0.500 0.500
3 Os 0.500 0.000 0.500
4 Cl 0.500 0.500 0.000

---

[13]
First-principles (PBE) data for a relaxed structure of IrOs2Cl, as listed in Alexandria.

Output
- Mass density: 16.91 Mg/m³
- ΔE to the lowest computed polymorph: 681 meV/atom
- M_tot: 0.000 μB/atom
- Formation energy without anion corrections: 1.21 eV per atom
- DOS(E_F): 1.686 states/eV/atom

Lattice parameters (Å, degrees): 4.387 4.387 4.387 60.00 60.00 60.00
Fractional positions:
1 Ir 0.000 0.000 0.000
2 Os 0.250 0.250 0.250
3 Os 0.750 0.750 0.750
4 Cl 0.500 0.500 0.500

---

[14]
First-principles (PBE) data for a relaxed structure of IrOs2Cl, as listed in Alexandria.

Output
- Mass density: 16.83 Mg/m³
- ΔE to the lowest computed polymorph: 703 meV/atom
- M_tot: 0.000 μB/atom
- Formation energy without anion corrections: 1.24 eV per atom
- DOS(E_F): 1.693 states/eV/atom

Lattice parameters (Å, degrees): 4.665 4.665 2.757 90.00 90.00 90.00
Fractional positions:
1 Ir 0.000 0.000 0.000
2 Os 0.000 0.500 0.500
3 Os 0.500 0.000 0.500
4 Cl 0.500 0.500 0.000

---

[15]
First-principles (PBE) data for a relaxed structure of IrOs2Cl, as listed in Alexandria.

Output
- Mass density: 12.67 Mg/m³
- ΔE to the lowest computed polymorph: 915 meV/atom
- M_tot: 0.000 μB/atom
- Formation energy without anion corrections: 1.45 eV per atom
- DOS(E_F): 0.875 states/eV/atom

Lattice parameters (Å, degrees): 6.147 6.147 6.147 121.85 121.85 86.82
Fractional positions:
1 Ir 0.000 0.000 0.000
2 Ir 0.750 0.250 0.500
3 Os 0.126 0.625 0.001
4 Os 0.375 0.376 0.501
5 Os 0.624 0.125 0.999
6 Os 0.875 0.874 0.499
7 Cl 0.250 0.750 0.500
8 Cl 0.500 0.500 0.000

---

[16]
First-principles (PBE) data for a relaxed structure of Ir2OsCl, as listed in Alexandria.

Output
- Mass density: 12.23 Mg/m³
- ΔE to the lowest computed polymorph: 597 meV/atom
- M_tot: 0.000 μB/atom
- Formation energy without anion corrections: 1.06 eV per atom
- DOS(E_F): 0.330 states/eV/atom

Lattice parameters (Å, degrees): 6.144 6.144 6.144 119.29 119.29 91.24
Fractional positions:
1 Ir 0.106 0.625 0.981
2 Ir 0.375 0.356 0.481
3 Ir 0.644 0.125 0.019
4 Ir 0.875 0.894 0.519
5 Os 0.000 0.000 0.000
6 Os 0.750 0.250 0.500
7 Cl 0.250 0.750 0.500
8 Cl 0.500 0.500 0.000

---

[17]
First-principles (PBE) data for a relaxed structure of Ir3OsCl, as listed in Alexandria.

Output
- Mass density: 12.21 Mg/m³
- ΔE to the lowest computed polymorph: 0 meV/atom
- M_tot: 0.000 μB/atom
- Formation energy without anion corrections: 1.96 eV per atom
- DOS(E_F): 2.186 states/eV/atom

Lattice parameters (Å, degrees): 4.778 4.778 4.778 90.00 90.00 90.00
Fractional positions:
1 Ir 0.000 0.000 0.500
2 Ir 0.000 0.500 0.000
3 Ir 0.500 0.000 0.000
4 Os 0.000 0.000 0.000
5 Cl 0.500 0.500 0.500

---

[18]
First-principles (PBE) data for a relaxed structure of IrOs2Cl, as listed in Alexandria.

Output
- Mass density: 15.57 Mg/m³
- ΔE to the lowest computed polymorph: 149 meV/atom
- M_tot: 0.000 μB/atom
- Formation energy without anion corrections: 0.68 eV per atom
- DOS(E_F): 0.785 states/eV/atom

Lattice parameters (Å, degrees): 2.778 3.734 6.254 90.00 90.00 90.00
Fractional positions:
1 Ir 0.000 0.000 0.000
2 Os 0.500 0.500 0.205
3 Os 0.500 0.500 0.795
4 Cl 0.500 0.000 0.500

---

[19]
First-principles (PBE) data for a relaxed structure of IrOs2Cl, as listed in Alexandria.

Output
- Mass density: 16.81 Mg/m³
- ΔE to the lowest computed polymorph: 696 meV/atom
- M_tot: 0.000 μB/atom
- Formation energy without anion corrections: 1.23 eV per atom
- DOS(E_F): 0.858 states/eV/atom

Lattice parameters (Å, degrees): 4.544 4.544 4.544 125.40 125.40 80.87
Fractional positions:
1 Ir 0.000 0.000 0.000
2 Os 0.250 0.750 0.500
3 Os 0.500 0.500 0.000
4 Cl 0.750 0.250 0.500

---

[20]
First-principles (PBE) data for a relaxed structure of Ir2OsCl, as listed in Alexandria.

Output
- Mass density: 16.39 Mg/m³
- ΔE to the lowest computed polymorph: 67 meV/atom
- M_tot: 0.000 μB/atom
- Formation energy without anion corrections: 0.53 eV per atom
- DOS(E_F): 0.919 states/eV/atom

Lattice parameters (Å, degrees): 2.810 2.810 7.831 90.00 90.00 90.00
Fractional positions:
1 Ir 0.000 0.000 0.230
2 Ir 0.000 0.000 0.770
3 Os 0.500 0.500 0.000
4 Cl 0.500 0.500 0.500